Entry w
PI2BrO after structural relaxation, computed with PBE.

Cell lengths 5.8380, 5.8380, 3.9486 Å; angles 90.00, 90.00, 90.00 degrees
Last column: nearest neighbours and their distance in Å.
Positions (direct):
1 P 0.0000 0.0000 0.0000  8 I 3.52
2 I 0.0000 0.5000 0.5000  2 Br 2.92
3 I 0.5000 0.0000 0.5000  2 Br 2.92
4 Br 0.5000 0.5000 0.5000  2 O 1.97
5 O 0.5000 0.5000 0.0000  2 Br 1.97

Output
magnetic moment = 0.95 μB/cell
space group = P4/mmm

=====

Entry x
PI2BrO after structural relaxation, computed with PBE.

Cell lengths 6.0096, 6.0096, 3.4568 Å; angles 90.00, 90.00, 90.00 degrees
Last column: nearest neighbours and their distance in Å.
Positions (direct):
1 P 0.0000 0.0000 0.0000  2 O 1.73
2 I 0.0000 0.5000 0.0000  2 P 3.00
3 I 0.5000 0.0000 0.0000  2 P 3.00
4 Br 0.5000 0.5000 0.5000  2 Br 3.46, 8 I 3.47
5 O 0.0000 0.0000 0.5000  2 P 1.73

Output
magnetic moment = 0.00 μB/cell
space group = P4/mmm

=====

What is the least stable structure shown above? It is entry w.